Entry 1:
SbPPb GGA-PBE relaxed; offset from the most stable computed form = 52.8 meV/atom; crystal system = monoclinic; formation energy without anion corrections = 0.39 eV per formula unit
1.0
-8.530 2.335 2.663
-1.113 0.107 -3.658
5.344 -10.805 -1.941
P Sb Pb
4 4 4
Direct
0.604 0.000 0.471
0.604 0.500 0.971
0.676 0.500 0.188
0.676 0.000 0.688
0.323 0.000 0.837
0.323 0.500 0.337
0.425 0.000 0.129
0.425 0.500 0.629
0.013 0.000 0.379
0.917 0.500 0.562
0.917 0.000 0.062
0.013 0.500 0.879

Entry 2:
Na3Ni5Br12 GGA-PBE relaxed; crystal system = cubic; formation energy without anion corrections = -11.62 eV per formula unit
1.0
13.975 0.000 0.000
-4.658 13.176 0.000
-4.658 -6.588 11.411
Ni Na Br
20 12 48
Direct
0.375 0.250 0.125
0.500 0.000 0.000
0.625 0.750 0.875
0.750 0.125 0.875
0.875 0.250 0.625
0.125 0.375 0.250
0.000 0.500 0.500
0.000 0.500 0.000
0.750 0.625 0.375
0.625 0.875 0.250
0.000 0.000 0.000
0.500 0.500 0.000
0.125 0.750 0.375
0.250 0.875 0.125
0.375 0.125 0.750
0.000 0.000 0.500
0.500 0.000 0.500
0.875 0.625 0.750
0.250 0.375 0.625
0.500 0.500 0.500
0.375 0.625 0.250
0.875 0.750 0.125
0.125 0.250 0.875
0.625 0.250 0.375
0.625 0.375 0.750
0.875 0.125 0.250
0.750 0.875 0.625
0.250 0.125 0.375
0.375 0.750 0.625
0.250 0.625 0.875
0.750 0.375 0.125
0.125 0.875 0.750
0.916 0.095 0.617
0.800 0.478 0.383
0.905 0.084 0.883
0.095 0.916 0.117
0.978 0.383 0.300
0.584 0.883 0.405
0.821 0.905 0.022
0.321 0.522 0.405
0.617 0.022 0.200
0.679 0.478 0.595
0.022 0.617 0.700
0.300 0.416 0.821
0.383 0.978 0.800
0.522 0.200 0.117
0.416 0.300 0.321
0.595 0.978 0.679
0.383 0.405 0.084
0.022 0.405 0.821
0.595 0.617 0.416
0.700 0.584 0.179
0.095 0.179 0.478
0.478 0.679 0.095
0.200 0.522 0.617
0.179 0.095 0.978
0.700 0.117 0.022
0.679 0.200 0.584
0.905 0.821 0.522
0.522 0.321 0.905
0.916 0.821 0.800
0.978 0.595 0.179
0.117 0.700 0.522
0.084 0.905 0.383
0.883 0.300 0.478
0.405 0.022 0.321
0.883 0.584 0.905
0.300 0.883 0.978
0.821 0.916 0.300
0.084 0.179 0.200
0.617 0.595 0.916
0.405 0.383 0.584
0.321 0.800 0.416
0.584 0.700 0.679
0.478 0.800 0.883
0.117 0.416 0.095
0.800 0.321 0.916
0.416 0.117 0.595
0.200 0.679 0.084
0.179 0.084 0.700

Entry 3:
LiHfNiRu GGA-PBE relaxed; crystal system = cubic; ΔH_f (0 K) = -0.251 eV/atom
1.0
-2.427 -1.418 -3.306
-3.852 -1.844 0.771
-3.655 2.086 -1.060
Ru Ni Li Hf
1 1 1 1
Direct
0.250 0.250 0.250
0.750 0.750 0.750
0.000 0.000 0.000
0.500 0.500 0.500

Q: What is the formula in the second record?
A: Na3Ni5Br12

Q: Which formula does entry 3 have?
A: LiHfNiRu